A plane-wave DFT calculation with PBE was carried out for a geometry-optimized TlHg2Ru structure.

Summary:
Energy relative to the elements, eV/atom: 0.532
Distance to the lowest polymorph of the same formula, meV per atom: 192
SG: P2/m
Crystal system: monoclinic

```
TlHg2Ru
1.0
-4.824 -0.402 -0.050
0.167 -2.289 2.326
-0.264 2.499 5.326
Hg Ru Tl
2 1 1
direct
0.000 0.112 0.023
0.000 0.388 0.477
0.500 0.250 0.250
0.500 0.750 0.750
```


A plane-wave DFT calculation with PBE was carried out for a geometry-optimized Mn2CrC structure.

Summary:
Energy relative to the elements, eV/atom: 0.233
SG: I-42d
Crystal system: tetragonal

```
Mn2CrC
1.0
-3.271 -3.819 4.070
5.188 -0.341 3.849
0.306 -0.427 4.986
Cr C Mn
2 2 4
direct
0.000 0.000 0.000
0.750 0.250 0.500
0.500 0.500 0.000
0.250 0.750 0.500
0.510 0.125 0.250
0.240 0.625 0.250
0.375 0.490 0.750
0.875 0.760 0.750
```


A plane-wave DFT calculation with PBE was carried out for a geometry-optimized BeCdRe2 structure.

Summary:
Energy relative to the elements, eV/atom: 0.537
Distance to the lowest polymorph of the same formula, meV per atom: 378
SG: Imm2
Crystal system: orthorhombic

```
BeCdRe2
1.0
4.991 0.031 0.019
2.021 4.563 -0.019
-2.969 -3.115 2.527
Re Be Cd
2 1 1
direct
0.992 0.992 0.000
0.726 0.226 0.500
0.507 0.507 0.000
0.275 0.775 0.500
```


A plane-wave DFT calculation with PBE was carried out for a geometry-optimized BaCrPt structure.

Summary:
Energy relative to the elements, eV/atom: 0.088
Distance to the lowest polymorph of the same formula, meV per atom: 249
SG: Cmcm
Crystal system: orthorhombic

```
BaCrPt
1.0
12.476 0.000 0.000
0.000 5.100 0.000
0.000 0.000 4.372
Cr Ba Pt
4 4 4
direct
0.000 0.000 0.000
0.500 0.500 0.500
0.500 0.000 0.500
0.000 0.500 0.000
0.707 0.250 0.000
0.793 0.750 0.500
0.293 0.750 0.000
0.207 0.250 0.500
0.452 0.250 0.000
0.048 0.750 0.500
0.548 0.750 0.000
0.952 0.250 0.500
```


A plane-wave DFT calculation with PBE was carried out for a geometry-optimized Sr2LaRhI structure.

Summary:
SG: P4/mmm
Crystal system: tetragonal
Formation energy from raw total energies, eV per atom: -0.54

```
Sr2LaRhI
1.0
6.126 0.000 0.000
0.000 6.126 0.000
0.000 0.000 5.289
I Sr Rh La
1 2 1 1
direct
0.500 0.500 0.500
0.000 0.500 0.000
0.500 0.000 0.000
0.000 0.000 0.000
0.000 0.000 0.500
```


A plane-wave DFT calculation with PBE was carried out for a geometry-optimized CaNbRu4 structure.

Summary:
Energy relative to the elements, eV/atom: 0.089
SG: F-43m
Crystal system: cubic

```
CaNbRu4
1.0
-3.615 3.663 -0.826
-3.086 1.544 3.907
0.586 4.752 2.062
Ru Nb Ca
4 1 1
direct
0.625 0.625 0.126
0.625 0.126 0.625
0.625 0.625 0.625
0.126 0.625 0.625
0.250 0.250 0.250
0.000 0.000 0.000
```


A plane-wave DFT calculation with PBE was carried out for a geometry-optimized Zr2MoOs structure.

Summary:
Energy relative to the elements, eV/atom: 0.137
SG: Pmm2
Crystal system: orthorhombic

```
Zr2MoOs
1.0
3.081 0.000 0.000
0.000 4.418 0.000
0.000 0.000 5.523
Mo Os Zr
1 1 2
direct
0.000 0.000 0.481
0.500 0.500 0.771
0.000 0.000 0.963
0.500 0.500 0.285
```


A plane-wave DFT calculation with PBE was carried out for a geometry-optimized SrGe3Pt structure.

Summary:
Energy relative to the elements, eV/atom: 1.652
SG: Pm-3m
Crystal system: cubic

```
SrGe3Pt
1.0
-4.620 2.726 -0.656
-2.565 -4.620 -1.134
-1.132 -0.658 5.243
Sr Ge Pt
1 3 1
direct
0.000 0.000 0.000
0.000 0.500 0.000
0.000 0.000 0.500
0.500 0.000 0.000
0.500 0.500 0.500
```


A plane-wave DFT calculation with PBE was carried out for a geometry-optimized Pr8Y6Tl structure.

Summary:
Energy relative to the elements, eV/atom: 0.075
SG: P-3
Crystal system: trigonal

```
Pr8Y6Tl
1.0
6.642 0.000 0.000
0.000 8.179 -4.722
0.000 0.000 9.445
Pr Y Tl
8 6 1
direct
0.822 0.043 0.274
0.822 0.726 0.770
0.822 0.230 0.957
0.178 0.957 0.726
0.178 0.274 0.230
0.178 0.770 0.043
0.854 0.333 0.667
0.146 0.667 0.333
0.663 0.652 0.099
0.663 0.901 0.553
0.663 0.447 0.348
0.337 0.348 0.901
0.337 0.099 0.447
0.337 0.553 0.652
0.500 0.000 0.000
```


A plane-wave DFT calculation with PBE was carried out for a geometry-optimized Y8Si3SeS4 structure.

Summary:
SG: R-3m
Crystal system: trigonal
Formation energy from raw total energies, eV per atom: -1.56

```
Y8Si3SeS4
1.0
8.074 0.000 0.000
0.000 8.064 -0.013
-4.037 -4.033 5.712
Y Si Se S
8 3 1 4
direct
0.253 0.748 0.995
0.254 0.749 0.507
0.251 0.253 0.502
0.742 0.748 0.995
0.258 0.252 0.005
0.749 0.747 0.498
0.746 0.251 0.493
0.747 0.252 0.005
0.500 0.500 0.000
0.500 0.500 0.500
0.000 0.500 0.500
0.000 0.500 0.000
0.500 0.000 0.000
0.500 0.000 0.500
0.000 0.000 0.000
0.000 0.000 0.500
```


A plane-wave DFT calculation with PBE was carried out for a geometry-optimized La6CoRh structure.

Summary:
Energy relative to the elements, eV/atom: -0.232
SG: R-3
Crystal system: trigonal

```
La6CoRh
1.0
6.099 0.006 3.175
2.208 5.675 3.193
-0.138 -0.117 7.708
La Co Rh
6 1 1
direct
0.079 0.411 0.755
0.755 0.079 0.756
0.590 0.245 0.244
0.245 0.921 0.244
0.921 0.589 0.245
0.410 0.755 0.756
0.000 0.000 0.000
0.500 0.500 0.500
```


A plane-wave DFT calculation with PBE was carried out for a geometry-optimized BaMoSe2 structure.

Summary:
Distance to the lowest polymorph of the same formula, meV per atom: 506
SG: R-3m
Crystal system: trigonal
Formation energy from raw total energies, eV per atom: -0.25

```
BaMoSe2
1.0
2.178 0.000 9.360
-1.089 1.886 9.360
-1.089 -1.886 9.360
Mo Ba Se
1 1 2
direct
0.500 0.500 0.500
0.000 0.000 0.000
0.886 0.886 0.886
0.114 0.114 0.114
```